1.
AlSi2Sb: relaxed, GGA-PBEsol.

Computed properties:
Distance to the lowest polymorph of the same formula in kJ/mol of atoms: 0.00
Formation energy without anion corrections in meV per atom: 288

```
AlSi2Sb
1.0
-2.308 0.016 -2.285
-2.205 -0.872 2.221
-1.276 6.624 1.334
Sb Si Al
1 2 1
direct
0.500 0.500 0.759
0.000 0.000 0.064
0.500 0.500 0.224
0.000 0.000 0.453
```

2.
AlSi2Sb: relaxed, GGA-PBEsol.

Computed properties:
Distance to the lowest polymorph of the same formula in kJ/mol of atoms: 5.75
Formation energy without anion corrections in meV per atom: 348

```
AlSi2Sb
1.0
2.964 -0.035 0.000
-0.262 2.952 0.000
0.000 0.000 8.359
Sb Si Al
1 2 1
direct
0.500 0.500 0.000
0.000 0.000 0.292
0.000 0.000 0.708
0.500 0.500 0.500
```

3.
AlSiSb3: relaxed, GGA-PBEsol.

Computed properties:
Formation energy without anion corrections in meV per atom: 829

```
AlSiSb3
1.0
-0.875 -0.754 5.027
5.067 0.268 0.923
-0.396 5.095 0.695
Sb Si Al
3 1 1
direct
0.000 0.500 0.000
0.000 0.000 0.500
0.500 0.000 0.000
0.500 0.500 0.500
0.000 0.000 0.000
```

4.
AlZn2SnSb: relaxed, GGA-PBEsol.

Computed properties:
Formation energy without anion corrections in meV per atom: 684

```
AlZn2SnSb
1.0
5.008 0.000 0.000
0.000 5.008 0.000
0.000 0.000 5.372
Sb Zn Sn Al
1 2 1 1
direct
0.000 0.000 0.000
0.000 0.500 0.000
0.500 0.000 0.000
0.500 0.500 0.500
0.000 0.000 0.500
```

5.
Sr2AlSb: relaxed, GGA-PBEsol.

Computed properties:
Formation energy without anion corrections in meV per atom: -189

```
Sr2AlSb
1.0
-0.951 4.282 0.596
-3.499 -0.404 -2.682
-3.882 -1.600 5.304
Sb Al Sr
1 1 2
direct
0.500 0.500 0.766
0.000 0.000 0.487
0.000 0.000 0.947
0.500 0.500 0.300
```

6.
Sr3AlSb3: relaxed, GGA-PBEsol.

Computed properties:
Formation energy without anion corrections in meV per atom: -881

```
Sr3AlSb3
1.0
-4.011 -5.344 -1.567
6.833 1.649 -8.084
8.843 -8.330 5.775
Al Sb Sr
4 12 12
direct
0.586 0.172 0.500
0.914 0.828 0.000
0.414 0.828 0.500
0.086 0.172 0.000
0.215 0.000 0.108
0.285 0.000 0.608
0.715 0.000 0.392
0.785 0.000 0.892
0.873 0.322 0.623
0.627 0.678 0.123
0.051 0.678 0.877
0.449 0.322 0.377
0.127 0.678 0.377
0.373 0.322 0.877
0.949 0.322 0.123
0.551 0.678 0.623
0.691 0.000 0.146
0.809 0.000 0.646
0.191 0.000 0.354
0.309 0.000 0.854
0.373 0.351 0.629
0.127 0.649 0.129
0.522 0.649 0.871
0.978 0.351 0.371
0.627 0.649 0.371
0.873 0.351 0.871
0.478 0.351 0.129
0.022 0.649 0.629
```

7.
Sr5Al2Sb6: relaxed, GGA-PBEsol.

Computed properties:
Formation energy without anion corrections in meV per atom: -815

```
Sr5Al2Sb6
1.0
10.336 0.000 0.000
0.000 12.059 0.000
0.000 0.000 13.261
Sr Al Sb
20 8 24
direct
0.021 0.167 0.462
0.750 0.839 0.812
0.521 0.333 0.962
0.479 0.667 0.038
0.529 0.420 0.264
0.471 0.080 0.764
0.250 0.661 0.312
0.521 0.833 0.538
0.971 0.920 0.236
0.971 0.420 0.264
0.471 0.580 0.736
0.250 0.161 0.188
0.021 0.667 0.038
0.479 0.167 0.462
0.979 0.333 0.962
0.529 0.920 0.236
0.029 0.580 0.736
0.029 0.080 0.764
0.750 0.339 0.688
0.979 0.833 0.538
0.250 0.423 0.566
0.750 0.577 0.434
0.750 0.187 0.297
0.250 0.813 0.703
0.750 0.077 0.066
0.250 0.313 0.797
0.250 0.923 0.934
0.750 0.687 0.203
0.250 0.355 0.374
0.946 0.174 0.168
0.054 0.326 0.668
0.750 0.048 0.625
0.946 0.674 0.332
0.750 0.348 0.438
0.554 0.674 0.332
0.446 0.826 0.832
0.750 0.496 0.090
0.250 0.652 0.562
0.750 0.848 0.062
0.750 0.548 0.875
0.446 0.326 0.668
0.750 0.645 0.626
0.250 0.855 0.126
0.054 0.826 0.832
0.250 0.004 0.590
0.250 0.952 0.375
0.250 0.452 0.125
0.250 0.504 0.910
0.750 0.996 0.410
0.250 0.152 0.938
0.554 0.174 0.168
0.750 0.145 0.874
```

8.
SrAl2Sb: relaxed, GGA-PBEsol.

Computed properties:
Formation energy without anion corrections in meV per atom: -125

```
SrAl2Sb
1.0
4.531 -0.017 0.000
-0.141 4.877 0.000
0.000 0.000 5.169
Sb Al Sr
1 2 1
direct
0.000 0.500 0.500
0.108 0.254 0.000
0.892 0.746 0.000
0.500 0.000 0.500
```

9.
SrAlSb2Te: relaxed, GGA-PBEsol.

Computed properties:
Formation energy without anion corrections in meV per atom: -198

```
SrAlSb2Te
1.0
-4.538 -2.671 0.004
0.861 -1.455 4.987
-2.645 4.497 1.768
Sb Te Al Sr
2 1 1 1
direct
0.000 0.500 0.000
0.500 0.000 0.000
0.000 0.000 0.500
0.000 0.000 0.000
0.500 0.500 0.500
```

10.
TaAlSb2: relaxed, GGA-PBEsol.

Computed properties:
Formation energy without anion corrections in meV per atom: 211

```
TaAlSb2
1.0
3.820 0.000 0.000
0.000 5.022 0.000
-1.910 -2.511 4.168
Sb Al Ta
2 1 1
direct
0.730 0.730 0.461
0.270 0.270 0.539
0.000 0.500 0.000
0.500 0.000 0.000
```

11.
Ta2AlSb: relaxed, GGA-PBEsol.

Computed properties:
Distance to the lowest polymorph of the same formula in kJ/mol of atoms: 7.08
Formation energy without anion corrections in meV per atom: 167

```
Ta2AlSb
1.0
-2.106 1.871 -1.161
-1.116 -0.506 -2.790
-7.880 -4.915 2.380
Sb Al Ta
1 1 2
direct
0.252 0.252 0.245
0.495 0.495 0.515
0.001 0.001 0.997
0.752 0.752 0.743
```

12.
TaAlSb: relaxed, GGA-PBEsol.

Computed properties:
Distance to the lowest polymorph of the same formula in kJ/mol of atoms: 34.56
Formation energy without anion corrections in meV per atom: 184

```
TaAlSb
1.0
2.962 0.000 0.000
0.000 2.962 0.000
-1.481 -1.481 6.789
Sb Al Ta
1 1 1
direct
0.678 0.678 0.355
0.981 0.981 0.961
0.342 0.342 0.683
```